Record 1
Material: CsBePb3
Method: DFT, meta-GGA SCAN
State: single point on PBEsol structure

Output
* E: -268.7 eV/f.u.
* symmetry: Pm-3m, No. 221

a b c (Å): 5.313 5.313 5.313
angles (deg): 90.00 90.00 90.00
Positions (direct):
1 Cs 0.000 0.000 0.000
2 Be 0.500 0.500 0.500
3 Pb 0.000 0.500 0.500
4 Pb 0.500 0.000 0.500
5 Pb 0.500 0.500 0.000

=====

Record 2
Material: MgIn3
Method: DFT, meta-GGA SCAN
State: single point on PBEsol structure

Output
* E: -105.3 eV/f.u.
* symmetry: Cmmm, No. 65

a b c (Å): 3.278 3.278 8.973
angles (deg): 90.00 90.00 90.16
Positions (direct):
1 Mg 0.000 0.000 0.000
2 In 0.000 0.000 0.500
3 In 0.500 0.500 0.237
4 In 0.500 0.500 0.763

=====

Record 3
Material: CaZn4Ag
Method: DFT, meta-GGA SCAN
State: single point on PBEsol structure

Output
* E: -96.3 eV/f.u.
* symmetry: F-43m, No. 216

a b c (Å): 5.198 5.198 5.198
angles (deg): 60.00 60.00 60.00
Positions (direct):
1 Ca 0.000 0.000 0.000
2 Zn 0.127 0.624 0.624
3 Zn 0.624 0.127 0.624
4 Zn 0.624 0.624 0.127
5 Zn 0.624 0.624 0.624
6 Ag 0.250 0.250 0.250

=====

Record 4
Material: LaZn3Sn
Method: DFT, meta-GGA SCAN
State: single point on PBEsol structure

Output
* E: -118.5 eV/f.u.
* symmetry: Pm-3m, No. 221

a b c (Å): 5.005 5.005 5.005
angles (deg): 90.00 90.00 90.00
Positions (direct):
1 La 0.000 0.000 0.000
2 Zn 0.000 0.500 0.500
3 Zn 0.500 0.000 0.500
4 Zn 0.500 0.500 0.000
5 Sn 0.500 0.500 0.500

=====

Record 5
Material: Cs3TeF
Method: DFT, meta-GGA SCAN
State: single point on PBEsol structure

Output
* E: -163.6 eV/f.u.
* symmetry: Pm-3m, No. 221

a b c (Å): 5.757 5.757 5.757
angles (deg): 90.00 90.00 90.00
Positions (direct):
1 Cs 0.000 0.000 0.500
2 Cs 0.000 0.500 0.000
3 Cs 0.500 0.000 0.000
4 Te 0.500 0.500 0.500
5 F 0.000 0.000 0.000

=====

Record 6
Material: Li2TlSe
Method: DFT, meta-GGA SCAN
State: single point on PBEsol structure

Output
* E: -100.6 eV/f.u.
* symmetry: R3m, No. 160

a b c (Å): 6.583 6.583 6.583
angles (deg): 35.35 35.35 35.35
Positions (direct):
1 Li 0.000 0.000 0.000
2 Li 0.232 0.232 0.232
3 Tl 0.449 0.449 0.449
4 Se 0.613 0.613 0.613

=====

Results for total magnetic moment: 0.00 0.00 0.00 0.00 0.00 0.00 (in Bohr magnetons per cell, following the order of the records).